A relaxed CdNiRhO4 crystal, computed with PBE with a Hubbard U.

Cell: 6.2579 6.2579 6.2579 Å, 121.42 119.62 89.11°
Closest atoms and distances in Å follow each position.
Positions (direct):
1 Cd 0.3895 0.1395 0.2500  4 O 2.17-2.20
2 Cd 0.6105 0.8605 0.7500  4 O 2.17-2.20
3 Ni 0.0000 0.0000 0.5000  6 O 2.05-2.15
4 Ni 0.0000 0.5000 0.0000  6 O 2.05-2.15
5 Rh 0.0000 0.5000 0.5000  6 O 2.01-2.05
6 Rh 0.5000 0.5000 0.0000  6 O 2.01-2.05
7 O 0.1878 0.7241 0.4638  1 Rh 2.01, 2 Ni 2.05, 1 Cd 2.17
8 O 0.2397 0.2751 0.5354  2 Rh 2.05, 1 Ni 2.15, 1 Cd 2.20
9 O 0.2397 0.2759 0.9638  1 Rh 2.01, 2 Ni 2.05, 1 Cd 2.17
10 O 0.2397 0.7043 0.9646  2 Rh 2.05, 1 Ni 2.15, 1 Cd 2.20
11 O 0.7603 0.2957 0.0354  2 Rh 2.05, 1 Ni 2.15, 1 Cd 2.20
12 O 0.7603 0.7241 0.0362  1 Rh 2.01, 2 Ni 2.05, 1 Cd 2.17
13 O 0.7603 0.7249 0.4646  2 Rh 2.05, 1 Ni 2.15, 1 Cd 2.20
14 O 0.8122 0.2759 0.5362  1 Rh 2.01, 2 Ni 2.05, 1 Cd 2.17

Values from the calculation:
- crystal system = orthorhombic
- total magnetization (Bohr magnetons per cell) = 2.0
- total energy (eV per atom) = -5.3042